# 1
VASP calculation (PBE) on a relaxed MgZn2Sn crystal.

Geometry as extended XYZ:
```
4
Lattice="0.0000 3.4190 3.4190 3.4190 0.0000 3.4190 3.4190 3.4190 0.0000" Properties=species:S:1:pos:R:3 pbc="T T T"
Mg 1.7095 1.7095 1.7095
Sn 3.4190 3.4190 3.4190
Zn 0.0000 0.0000 0.0000
Zn 5.1285 5.1285 5.1285
```

For the total energy, the calculation gives -1.949 eV/atom. As for the space-group type: F-43m, No. 216.


# 2
VASP calculation (PBE) on a relaxed LiSmZnS3 crystal.

Geometry as extended XYZ:
```
24
Lattice="-11.2983 1.4999 -1.0502 -0.5274 -1.4292 3.6328 0.9738 10.2607 4.1780" Properties=species:S:1:pos:R:3 pbc="T T T"
Li -1.4301 -0.0149 0.8544
Li -6.6243 5.5295 2.2816
Li -4.2277 4.8019 4.4791
Li -9.4218 10.3462 5.9062
S -6.7856 1.2457 0.5729
S -10.5187 2.4480 0.5039
S -2.6378 1.0104 3.2183
S -8.1346 3.3659 3.3469
S -4.6500 4.0110 1.9708
S -0.7845 4.2046 2.6081
S -10.0674 6.1267 4.1525
S -6.2019 6.3203 4.7898
S -2.7173 6.9655 3.4137
S -8.2141 9.3210 3.5424
S -0.3332 7.8834 6.2567
S -4.0663 9.0857 6.1878
Sm -5.4840 1.4646 2.9838
Sm -10.9951 3.6692 3.0510
Sm 0.1432 6.6621 3.7096
Sm -5.3679 8.8667 3.7769
Zn -8.2856 2.9006 1.0062
Zn -2.5574 2.9842 1.8706
Zn -8.2946 7.3472 4.8900
Zn -2.5663 7.4307 5.7545
```

For the total energy, the calculation gives -4.780 eV/atom. As for the space-group type: Pnma, No. 62.


Q: What is the formula in the second record?
A: LiSmZnS3


Q: What is the formula in the second record?
A: LiSmZnS3